DFT (GGA+U) results for a relaxed LaMnP2O8 crystal.

Lattice parameters (Å, degrees): 4.9433 4.9433 6.9235 90.00 90.00 120.00
Element x y z (fractional)
La  0.0000  0.0000  0.0000
Mn  0.0000  0.0000  0.5000
P  0.6667  0.3333  0.2529
P  0.3333  0.6667  0.7471
O  0.3333  0.6667  0.9705
O  0.3356  0.2554  0.3176
O  0.7446  0.0803  0.3176
O  0.6667  0.3333  0.0295
O  0.2554  0.9197  0.6824
O  0.6644  0.7446  0.6824
O  0.0803  0.3356  0.6824
O  0.9197  0.6644  0.3176

Computed properties:
* V: 146.5 Å³/cell
* space group: P-3 (147)
* raw total energy: -7.540 eV/atom